Here is a relaxed Tb4Er3Ru4 crystal from Alexandria via LeMat-Bulk. Energies are from PBE.

abc: 3.504 8.839 9.467
angles: 117.83 100.67 90.00
Fractional positions:
Tb (0.336, 0.145, 0.672)
Tb (0.664, 0.473, 0.328)
Tb (0.664, 0.855, 0.328)
Tb (0.336, 0.527, 0.672)
Er (0.096, 0.096, 0.192)
Er (0.904, 0.904, 0.808)
Er (0.000, 0.500, 0.000)
Ru (0.261, 0.761, 0.521)
Ru (0.739, 0.239, 0.479)
Ru (0.500, 0.777, 0.000)
Ru (0.500, 0.223, 0.000)

Crystal system: orthorhombic
D(E_F), states/eV per atom: 0.55
Energy of formation, eV per atom: -0.3103
M_tot, μB/f.u.: 0.0

***

Here is a relaxed Ce5PrBi6 crystal from Alexandria via LeMat-Bulk. Energies are from PBE.

abc: 7.975 7.986 7.987
angles: 60.01 80.39 70.50
Each line ends with the local moment (μB).
Fractional positions:
Pr (0.000, 0.000, 0.000)  0.01
Bi (0.748, 0.084, 0.335)  -0.04
Bi (0.252, 0.581, 0.335)  -0.04
Bi (0.251, 0.252, 0.000)  -0.04
Bi (0.749, 0.748, 0.000)  -0.04
Bi (0.748, 0.419, 0.665)  -0.04
Bi (0.252, 0.916, 0.665)  -0.04
Ce (0.500, 0.166, 0.668)  0.83
Ce (0.000, 0.333, 0.334)  0.83
Ce (0.500, 0.500, 0.000)  0.83
Ce (0.000, 0.667, 0.666)  0.83
Ce (0.500, 0.834, 0.332)  0.83

Crystal system: monoclinic
D(E_F), states/eV per atom: 2.90
Energy of formation, eV per atom: -0.8184
M_tot, μB/f.u.: 4.4

***

Here is a relaxed RbBa2Pd2 crystal from Alexandria via LeMat-Bulk. Energies are from PBE.

abc: 9.055 9.055 4.365
angles: 90.00 90.00 90.00
Fractional positions:
Rb (0.000, 0.000, 0.000)
Rb (0.500, 0.500, 0.000)
Ba (0.156, 0.656, 0.500)
Ba (0.656, 0.844, 0.500)
Ba (0.844, 0.344, 0.500)
Ba (0.344, 0.156, 0.500)
Pd (0.381, 0.881, 0.000)
Pd (0.881, 0.619, 0.000)
Pd (0.619, 0.119, 0.000)
Pd (0.119, 0.381, 0.000)

Crystal system: tetragonal
D(E_F), states/eV per atom: 0.60
Energy of formation, eV per atom: -0.2807
M_tot, μB/f.u.: 0.0

***

Here is a relaxed Ce4SmHg5 crystal from Alexandria via LeMat-Bulk. Energies are from PBE.

abc: 3.279 3.279 25.287
angles: 90.00 90.00 90.00
Each line ends with the local moment (μB).
Fractional positions:
Ce (0.000, 0.000, 0.187)  0.48
Ce (0.000, 0.000, 0.291)  0.68
Ce (0.000, 0.000, 0.709)  0.68
Ce (0.000, 0.000, 0.813)  0.48
Sm (0.000, 0.000, 0.000)  -0.01
Hg (0.500, 0.500, 0.908)  0.01
Hg (0.500, 0.500, 0.386)  0.01
Hg (0.500, 0.500, 0.500)  0.01
Hg (0.500, 0.500, 0.614)  0.01
Hg (0.500, 0.500, 0.092)  0.01

Crystal system: tetragonal
D(E_F), states/eV per atom: 1.92
Energy of formation, eV per atom: -0.0996
M_tot, μB/f.u.: 2.8

***

Here is a relaxed HoScSi crystal from Alexandria via LeMat-Bulk. Energies are from PBE.

abc: 4.181 4.181 7.731
angles: 90.00 90.00 90.00
Fractional positions:
Ho (0.750, 0.750, 0.353)
Ho (0.250, 0.250, 0.647)
Sc (0.250, 0.750, 0.000)
Sc (0.750, 0.250, 0.000)
Si (0.250, 0.250, 0.257)
Si (0.750, 0.750, 0.743)

Crystal system: tetragonal
D(E_F), states/eV per atom: 1.34
M_tot, μB/f.u.: 0.0
Relative energy among the computed polymorphs, meV per atom: 8
Energy relative to the elements, uncorrected, eV per atom: -0.627

***

Here is a relaxed Ga2PCl crystal from Alexandria via LeMat-Bulk. Energies are from PBE.

abc: 6.774 6.774 6.362
angles: 57.84 57.84 90.00
Fractional positions:
P (0.500, 0.500, 0.000)
P (0.250, 0.750, 0.500)
Ga (0.583, 0.125, 0.250)
Ga (0.167, 0.625, 0.250)
Ga (0.375, 0.417, 0.750)
Ga (0.875, 0.833, 0.750)
Cl (0.000, 0.000, 0.000)
Cl (0.750, 0.250, 0.500)

Crystal system: tetragonal
D(E_F), states/eV per atom: 0.10
M_tot, μB/f.u.: 0.0
Relative energy among the computed polymorphs, meV per atom: 0
Energy relative to the elements, uncorrected, eV per atom: -0.118

***

Here is a relaxed La15Tb2Mg2 crystal from Alexandria via LeMat-Bulk. Energies are from PBE.

abc: 8.926 8.926 8.926
angles: 77.37 77.37 77.37
Fractional positions:
La (0.000, 0.500, 0.000)
La (0.000, 0.000, 0.500)
La (0.500, 0.000, 0.000)
La (0.294, 0.000, 0.706)
La (0.706, 0.294, 0.000)
La (0.000, 0.706, 0.294)
La (0.294, 0.706, 0.000)
La (0.000, 0.294, 0.706)
La (0.706, 0.000, 0.294)
La (0.395, 0.827, 0.395)
La (0.395, 0.395, 0.827)
La (0.827, 0.395, 0.395)
La (0.605, 0.173, 0.605)
La (0.605, 0.605, 0.173)
La (0.173, 0.605, 0.605)
Tb (0.702, 0.702, 0.702)
Tb (0.298, 0.298, 0.298)
Mg (0.909, 0.909, 0.909)
Mg (0.091, 0.091, 0.091)

Crystal system: trigonal
D(E_F), states/eV per atom: 1.36
Energy of formation, eV per atom: 0.1746
M_tot, μB/f.u.: 0.0

***

Here is a relaxed Y4BSe2S crystal from Alexandria via LeMat-Bulk. Energies are from PBE.

abc: 5.634 5.634 6.909
angles: 114.06 114.06 90.00
Fractional positions:
Y (0.977, 0.477, 0.955)
Y (0.523, 0.023, 0.045)
Y (0.745, 0.745, 0.491)
Y (0.255, 0.255, 0.509)
B (0.750, 0.250, 0.500)
Se (0.250, 0.750, 0.500)
Se (0.000, 0.000, 0.000)
S (0.500, 0.500, 0.000)

Crystal system: tetragonal
D(E_F), states/eV per atom: 0.28
M_tot, μB/f.u.: 0.0
Energy relative to the elements, uncorrected, eV per atom: -1.490

***

no.,uncorrected energy (eV per atom)
1,-6.611
2,-5.630
3,-3.320
4,-3.096
5,-6.071
6,-3.445
7,-4.371
8,-6.943